# 1
First-principles (PBE-GGA) data for an optimized crystal structure of Ba6Au2N, as listed in Alexandria.

Unit cell a=7.692 b=8.548 c=13.424 alpha=90.00 beta=124.01 gamma=90.00
Space group P2_1/c (No. 14)
Symmetry-distinct sites (fractional):
Ba 0.109 0.034 0.233 (multiplicity 4)
Ba 0.213 0.706 0.059 (multiplicity 4)
Ba 0.360 0.161 0.061 (multiplicity 4)
Au 0.294 0.107 0.749 (multiplicity 4)
N 0.000 0.000 0.000 (multiplicity 2)

## Properties
Energy relative to the elements, uncorrected, kJ/mol of atoms: -44.6

# 2
First-principles (PBE-GGA) data for an optimized crystal structure of Ba8AuN2, as listed in Alexandria.

Unit cell a=21.924 b=9.629 c=14.974 alpha=90.00 beta=131.49 gamma=90.00
Space group C2/c (No. 15)
Symmetry-distinct sites (fractional):
Ba 0.059 0.239 0.170 (multiplicity 8)
Ba 0.092 0.250 0.700 (multiplicity 8)
Ba 0.153 0.466 0.529 (multiplicity 8)
Ba 0.160 0.043 0.535 (multiplicity 8)
Au 0.000 0.020 0.750 (multiplicity 4)
N 0.087 0.255 0.526 (multiplicity 8)

## Properties
Energy relative to the elements, uncorrected, kJ/mol of atoms: -31.8

# 3
First-principles (PBE-GGA) data for an optimized crystal structure of Ba3AuN, as listed in Alexandria.

Unit cell a=7.574 b=5.079 c=10.959 alpha=90.00 beta=103.90 gamma=90.00
Space group P2_1/m (No. 11)
Symmetry-distinct sites (fractional):
Ba 0.099 0.250 0.108 (multiplicity 2)
Ba 0.215 0.750 0.389 (multiplicity 2)
Ba 0.315 0.250 0.792 (multiplicity 2)
Au 0.481 0.250 0.327 (multiplicity 2)
N 0.007 0.250 0.840 (multiplicity 2)

## Properties
Energy relative to the elements, uncorrected, kJ/mol of atoms: -43.7

# 4
First-principles (PBE-GGA) data for an optimized crystal structure of Ba4AuN2, as listed in Alexandria.

Unit cell a=4.228 b=13.954 c=14.244 alpha=90.00 beta=90.00 gamma=90.00
Space group Cmcm (No. 63)
Symmetry-distinct sites (fractional):
Ba 0.000 0.000 0.000 (multiplicity 4)
Ba 0.000 0.267 0.103 (multiplicity 8)
Ba 0.000 0.422 0.750 (multiplicity 4)
Au 0.000 0.103 0.750 (multiplicity 4)
N 0.000 0.357 0.562 (multiplicity 8)

## Properties
Energy relative to the elements, uncorrected, kJ/mol of atoms: -38.2

# 5
First-principles (PBE-GGA) data for an optimized crystal structure of BaAuN2, as listed in Alexandria.

Unit cell a=5.379 b=5.379 c=11.070 alpha=90.00 beta=90.00 gamma=90.00
Space group I-42d (No. 122)
Symmetry-distinct sites (fractional):
Ba 0.000 0.000 0.000 (multiplicity 4)
Au 0.000 0.000 0.500 (multiplicity 4)
N 0.153 0.250 0.625 (multiplicity 8)

## Properties
Energy relative to the elements, uncorrected, kJ/mol of atoms: 70.8

# 6
First-principles (PBE-GGA) data for an optimized crystal structure of BaAuN2, as listed in Alexandria.

Unit cell a=4.745 b=5.321 c=8.467 alpha=86.41 beta=76.71 gamma=71.90
Space group P-1 (No. 2)
Symmetry-distinct sites (fractional):
Ba 0.111 0.211 0.225 (multiplicity 2)
Au 0.500 0.000 0.500 (multiplicity 1)
Au 0.500 0.500 0.500 (multiplicity 1)
N 0.188 0.682 0.066 (multiplicity 2)
N 0.355 0.776 0.976 (multiplicity 2)

## Properties
Energy relative to the elements, uncorrected, kJ/mol of atoms: -34.7

| no. | Fermi-level density of states (states/eV per cell) | calculated total energy (eV for the cell shown) |
| --- | --- | --- |
| 1 | 15.230 | -61.16 |
| 2 | 37.235 | -155.75 |
| 3 | 3.896 | -39.27 |
| 4 | 17.069 | -121.56 |
| 5 | 3.913 | -75.66 |
| 6 | 3.520 | -46.58 |